## P
Below is an optimized crystal structure of ScNb2Mo, with properties calculated at the PBE level.

The structure in extended XYZ format:
```
4
Lattice="4.706 0.000 0.000 0.000 4.706 0.000 0.000 0.000 3.273" Properties=species:S:1:pos:R:3 pbc="T T T"
Sc 0.000 0.000 0.000
Nb 0.000 2.353 1.636
Nb 2.353 0.000 1.636
Mo 2.353 2.353 0.000
```

Properties
The magnetization comes out at 0.00 μB/f.u.

---

## Q
Below is an optimized crystal structure of ScNb2Mo, with properties calculated at the PBE level.

The structure in extended XYZ format:
```
8
Lattice="-3.701 3.701 2.861 3.701 -3.701 2.861 3.701 3.701 -2.861" Properties=species:S:1:pos:R:3 pbc="T T T"
Sc 0.000 0.000 0.000
Sc 0.000 3.701 1.431
Nb 1.851 2.061 -0.715
Nb 5.342 1.851 0.715
Nb 1.851 1.641 2.146
Nb -1.641 1.851 3.577
Mo 3.701 0.000 1.431
Mo 0.000 0.000 2.861
```

Properties
The magnetization comes out at 0.00 μB/f.u.

---

## R
Below is an optimized crystal structure of ScNb2Mo, with properties calculated at the PBE level.

The structure in extended XYZ format:
```
4
Lattice="3.259 0.000 0.000 0.000 3.259 0.000 0.000 0.000 7.056" Properties=species:S:1:pos:R:3 pbc="T T T"
Sc 0.000 0.000 0.000
Nb 1.629 1.629 1.998
Nb 1.629 1.629 5.058
Mo 0.000 0.000 3.528
```

Properties
The magnetization comes out at 0.00 μB/f.u.

---

Relative stability in meV/atom, measured from the most stable structure: P 74; Q 488; R 0

---

## P
Below is an optimized crystal structure of NbMoSe4, with properties calculated at the PBE level.

The structure in extended XYZ format:
```
6
Lattice="3.388 0.000 0.000 0.000 5.862 0.000 -1.686 -0.977 6.959" Properties=species:S:1:pos:R:3 pbc="T T T"
Nb 0.000 0.000 0.000
Mo 1.694 2.931 0.000
Se -0.001 1.984 1.685
Se 0.007 0.021 5.242
Se 1.695 4.864 1.717
Se 1.703 2.901 5.274
```

Properties
The magnetization comes out at 0.00 μB/f.u.

---

## Q
Below is an optimized crystal structure of NbMoSe4, with properties calculated at the PBE level.

The structure in extended XYZ format:
```
12
Lattice="6.470 0.000 0.000 -2.737 5.922 0.000 -1.339 -1.272 6.867" Properties=species:S:1:pos:R:3 pbc="T T T"
Nb 0.663 -0.150 2.698
Nb 1.730 4.800 4.168
Mo 0.008 2.142 4.171
Mo 2.385 2.508 2.696
Se -2.433 3.706 4.321
Se -1.295 0.763 5.987
Se 1.726 1.035 0.682
Se 0.270 3.830 2.286
Se 2.124 0.820 4.581
Se 0.667 3.615 6.184
Se 3.688 3.887 0.880
Se 4.826 0.944 2.546
```

Properties
The magnetization comes out at 0.00 μB/f.u.

---

## R
Below is an optimized crystal structure of NbMoSe4, with properties calculated at the PBE level.

The structure in extended XYZ format:
```
6
Lattice="3.403 0.000 0.000 -1.702 2.947 0.000 0.000 0.000 13.748" Properties=species:S:1:pos:R:3 pbc="T T T"
Nb 0.000 0.000 0.000
Mo 0.000 0.000 6.874
Se 0.000 1.965 1.711
Se 0.000 1.965 12.037
Se 1.702 0.982 5.230
Se 1.702 0.982 8.518
```

Properties
The magnetization comes out at 0.00 μB/f.u.

---

Relative stability in meV/atom, measured from the most stable structure: P 114; Q 218; R 0

---

## P
Below is an optimized crystal structure of Nb3SiMo, with properties calculated at the PBE level.

The structure in extended XYZ format:
```
5
Lattice="4.621 0.000 0.000 0.000 4.621 0.000 0.000 0.000 4.621" Properties=species:S:1:pos:R:3 pbc="T T T"
Nb 0.000 0.000 2.310
Nb 0.000 2.310 0.000
Nb 2.310 0.000 0.000
Si 0.000 0.000 0.000
Mo 2.310 2.310 2.310
```

Properties
The magnetization comes out at 0.00 μB/f.u.

---

## Q
Below is an optimized crystal structure of Nb3SiMo, with properties calculated at the PBE level.

The structure in extended XYZ format:
```
5
Lattice="4.802 0.000 0.000 0.000 4.802 0.000 0.000 0.000 4.802" Properties=species:S:1:pos:R:3 pbc="T T T"
Nb 0.000 0.000 2.401
Nb 0.000 2.401 0.000
Nb 2.401 0.000 0.000
Si 2.401 2.401 2.401
Mo 0.000 0.000 0.000
```

Properties
The magnetization comes out at 0.00 μB/f.u.

---

Relative stability in meV/atom, measured from the most stable structure: P 0; Q 448

---

## P
Below is an optimized crystal structure of NbSi4Mo, with properties calculated at the PBE level.

The structure in extended XYZ format:
```
18
Lattice="4.717 0.000 0.000 0.000 13.128 0.000 -2.345 0.000 4.111" Properties=species:S:1:pos:R:3 pbc="T T T"
Nb 0.000 0.000 0.000
Nb 0.000 6.545 0.000
Nb 2.359 8.741 0.000
Si 0.036 2.189 1.402
Si 0.045 8.756 1.404
Si 0.047 6.539 2.700
Si 1.174 10.931 0.737
Si 0.045 13.119 2.727
Si 1.200 4.355 0.724
Si 1.173 4.355 3.386
Si 2.327 13.119 1.383
Si 1.198 10.931 3.374
Si 2.326 6.539 1.411
Si 2.328 8.756 2.707
Si 2.336 2.189 2.708
Mo -1.172 4.352 2.055
Mo -1.172 10.935 2.055
Mo 2.359 2.189 0.000
```

Properties
The magnetization comes out at 0.00 μB/f.u.

---

## Q
Below is an optimized crystal structure of NbSi4Mo, with properties calculated at the PBE level.

The structure in extended XYZ format:
```
6
Lattice="4.341 -1.622 0.000 4.341 1.622 0.000 -2.439 0.000 6.055" Properties=species:S:1:pos:R:3 pbc="T T T"
Nb 0.000 0.000 0.000
Si 2.478 0.000 1.047
Si 1.283 0.000 4.011
Si 4.960 0.000 2.044
Si 3.765 0.000 5.008
Mo -1.220 0.000 3.027
```

Properties
The magnetization comes out at 0.00 μB/f.u.

---

Relative stability in meV/atom, measured from the most stable structure: P 0; Q 31